Entry 1:
# AlCdTc4

A crystal of AlCdTc4 relaxed with PBEsol (SCAN, Alexandria).

* volume: 15.65 Å³/atom
* ΔH_f (0 K): 6.0 kcal/mol of atoms

Lattice parameters (Å, degrees): 5.1014 5.1014 5.1014 60.00 60.00 60.00
Last column: nearest neighbours and their distance in Å.
Element x y z (fractional)
Tc 0.8747 0.3751 0.3751  6 Tc 2.55
Tc 0.3751 0.8747 0.3751  6 Tc 2.55
Tc 0.3751 0.3751 0.3751  6 Tc 2.55
Tc 0.3751 0.3751 0.8747  6 Tc 2.55
Al 0.7500 0.7500 0.7500  12 Tc 2.99, 4 Cd 3.12
Cd 0.0000 0.0000 0.0000  12 Tc 2.99, 4 Al 3.12

Entry 2:
# AlCdTc2

A crystal of AlCdTc2 relaxed with PBEsol (SCAN, Alexandria).

* volume: 15.23 Å³/atom
* ΔH_f (0 K): 4.4 kcal/mol of atoms

Lattice parameters (Å, degrees): 2.7041 5.1384 5.1384 116.83 98.82 98.82
Last column: nearest neighbours and their distance in Å.
Element x y z (fractional)
Tc 0.0000 0.0000 0.5000  4 Tc 2.69-2.70, 2 Al 2.71, 2 Cd 2.71
Tc 0.0000 0.5000 0.0000  4 Tc 2.69-2.70, 2 Cd 2.71, 2 Al 2.71
Al 0.5000 0.0000 0.0000  2 Cd 2.69, 2 Al 2.70, 4 Tc 2.71
Cd 0.5000 0.5000 0.5000  2 Al 2.69, 2 Cd 2.70, 4 Tc 2.71

Entry 3:
# AlTlCd3

A crystal of AlTlCd3 relaxed with PBEsol (SCAN, Alexandria).

* volume: 31.72 Å³/atom
* ΔH_f (0 K): 16.3 kcal/mol of atoms

Lattice parameters (Å, degrees): 5.4132 5.4132 5.4132 90.00 90.00 90.00
Last column: nearest neighbours and their distance in Å.
Element x y z (fractional)
Cd 0.0000 0.5000 0.0000  2 Tl 2.71
Cd 0.0000 0.0000 0.5000  2 Tl 2.71
Cd 0.5000 0.0000 0.0000  2 Tl 2.71
Tl 0.0000 0.0000 0.0000  6 Cd 2.71
Al 0.5000 0.5000 0.5000  12 Cd 3.83

Entry 4:
# AlTlCd2

A crystal of AlTlCd2 relaxed with PBEsol (SCAN, Alexandria).

* volume: 22.34 Å³/atom
* ΔE to the lowest computed polymorph: 74 meV/atom
* ΔH_f (0 K): 4.6 kcal/mol of atoms

Lattice parameters (Å, degrees): 3.0611 5.2761 5.5338 90.00 90.00 90.00
Last column: nearest neighbours and their distance in Å.
Element x y z (fractional)
Tl 0.5000 0.0000 0.5000  4 Al 3.05, 2 Tl 3.06, 4 Cd 3.16
Cd 0.0000 0.0000 0.0000  6 Cd 3.05-3.06, 4 Tl 3.16
Cd 0.5000 0.5000 0.0000  6 Cd 3.05-3.06, 4 Al 3.16
Al 0.0000 0.5000 0.5000  4 Tl 3.05, 2 Al 3.06, 4 Cd 3.16

Entry 5:
# AlTlCd2

A crystal of AlTlCd2 relaxed with PBEsol (SCAN, Alexandria).

* volume: 21.81 Å³/atom
* ΔE to the lowest computed polymorph: 0 meV/atom
* ΔH_f (0 K): 2.9 kcal/mol of atoms

Lattice parameters (Å, degrees): 3.1904 3.1904 8.5726 90.00 90.00 90.00
Last column: nearest neighbours and their distance in Å.
Element x y z (fractional)
Al 0.5000 0.5000 0.5000  8 Cd 2.94, 4 Al 3.19
Tl 0.5000 0.5000 0.0000  4 Tl 3.19, 8 Cd 3.29
Cd 0.0000 0.0000 0.7208  4 Al 2.94, 4 Cd 3.19, 4 Tl 3.29
Cd 0.0000 0.0000 0.2792  4 Al 2.94, 4 Cd 3.19, 4 Tl 3.29

Entry 6:
# AlTlCd2

A crystal of AlTlCd2 relaxed with PBEsol (SCAN, Alexandria).

* volume: 22.03 Å³/atom
* ΔE to the lowest computed polymorph: 44 meV/atom
* ΔH_f (0 K): 3.9 kcal/mol of atoms

Lattice parameters (Å, degrees): 3.0632 4.2277 6.8039 90.00 90.00 90.00
Last column: nearest neighbours and their distance in Å.
Element x y z (fractional)
Tl 0.0000 0.0000 0.5086  2 Tl 3.06, 4 Al 3.18, 5 Cd 3.24-3.27
Cd 0.5000 0.5000 0.2266  6 Cd 3.06-3.07, 1 Al 3.07, 4 Tl 3.24
Cd 0.0000 0.0000 0.9893  4 Al 2.99, 6 Cd 3.06-3.07, 1 Tl 3.27
Al 0.5000 0.5000 0.7754  5 Cd 2.99-3.07, 2 Al 3.06, 4 Tl 3.18

Entry 7:
# Al2TlCd

A crystal of Al2TlCd relaxed with PBEsol (SCAN, Alexandria).

* volume: 21.38 Å³/atom
* ΔH_f (0 K): 5.5 kcal/mol of atoms

Lattice parameters (Å, degrees): 3.0707 5.0799 6.2332 114.05 104.26 90.00
Last column: nearest neighbours and their distance in Å.
Element x y z (fractional)
Tl 0.2629 0.7629 0.5259  6 Al 2.98-3.26, 2 Tl 3.07
Al 0.7360 0.2360 0.4721  4 Al 2.77-3.07, 4 Tl 2.98, 2 Cd 3.04
Al 0.0254 0.0254 0.0508  4 Al 2.77-3.07, 4 Cd 3.02
Cd 0.4756 0.4756 0.9513  6 Al 3.02-3.04, 2 Cd 3.07

Entry 8:
# AlTlCd2

A crystal of AlTlCd2 relaxed with PBEsol (SCAN, Alexandria).

* volume: 22.00 Å³/atom
* ΔE to the lowest computed polymorph: 32 meV/atom
* ΔH_f (0 K): 3.6 kcal/mol of atoms

Lattice parameters (Å, degrees): 3.1371 3.1371 8.9413 90.00 90.00 90.00
Last column: nearest neighbours and their distance in Å.
Element x y z (fractional)
Al 0.5000 0.5000 0.7700  4 Cd 2.97, 4 Al 3.14, 4 Tl 3.23
Cd 0.5000 0.5000 0.2306  8 Cd 3.08-3.14, 4 Tl 3.33
Cd 0.0000 0.0000 0.9914  4 Al 2.97, 8 Cd 3.08-3.14
Tl 0.0000 0.0000 0.5079  4 Tl 3.14, 4 Al 3.23, 4 Cd 3.33

Q: ΔH_f (0 K) of number 2 (AlCdTc2)?
A: 4.4 kcal/mol of atoms

Please write out number 5 again, unchanged.
# AlTlCd2

A crystal of AlTlCd2 relaxed with PBEsol (SCAN, Alexandria).

* volume: 21.81 Å³/atom
* ΔE to the lowest computed polymorph: 0 meV/atom
* ΔH_f (0 K): 2.9 kcal/mol of atoms

Lattice parameters (Å, degrees): 3.1904 3.1904 8.5726 90.00 90.00 90.00
Last column: nearest neighbours and their distance in Å.
Element x y z (fractional)
Al 0.5000 0.5000 0.5000  8 Cd 2.94, 4 Al 3.19
Tl 0.5000 0.5000 0.0000  4 Tl 3.19, 8 Cd 3.29
Cd 0.0000 0.0000 0.7208  4 Al 2.94, 4 Cd 3.19, 4 Tl 3.29
Cd 0.0000 0.0000 0.2792  4 Al 2.94, 4 Cd 3.19, 4 Tl 3.29

Q: The highest ΔH_f (0 K) belongs to which entry?
A: AlTlCd3